[1]
An optimized crystal structure of Ce2HoAu. Source: Alexandria, functional GGA-PBE.

a = 5.617 Å, b = 4.196 Å, c = 4.196 Å
α = 90.00°, β = 90.00°, γ = 90.00°
Each line ends with the local moment (μB).
Element x y z (fractional)
Ce 0.000 0.000 0.500  0.33
Au 0.500 0.000 0.000  0.01
Ho 0.500 0.500 0.500  0.02
Ce 0.000 0.500 0.000  0.33

Results
Relative energy among the computed polymorphs ... 0.000 eV/atom
E_tot ... -5.192 eV per atom
ΔH_f (0 K) ... -262 meV/atom

---

[2]
An optimized crystal structure of Ce2HoAu4. Source: Alexandria, functional GGA-PBE.

a = 5.238 Å, b = 5.238 Å, c = 7.556 Å
α = 110.28°, β = 110.28°, γ = 90.00°
Each line ends with the local moment (μB).
Element x y z (fractional)
Ho 0.000 0.000 0.000  0.07
Au 0.386 0.886 0.773  0.01
Au 0.614 0.114 0.227  0.01
Au 0.886 0.386 0.773  0.01
Ce 0.279 0.279 0.559  0.84
Ce 0.721 0.721 0.441  0.84
Au 0.114 0.614 0.227  0.01

Results
E_tot ... -4.793 eV per atom
ΔH_f (0 K) ... -571 meV/atom

---

[3]
An optimized crystal structure of CeHo3Au4. Source: Alexandria, functional GGA-PBE.

a = 5.089 Å, b = 5.089 Å, c = 8.952 Å
α = 73.49°, β = 73.49°, γ = 60.00°
Each line ends with the local moment (μB).
Element x y z (fractional)
Ho 0.751 0.751 0.748  0.03
Ce 0.000 0.000 0.000  0.81
Ho 0.500 0.500 0.500  0.00
Au 0.128 0.128 0.617  0.00
Au 0.380 0.380 0.859  0.01
Ho 0.249 0.249 0.252  0.03
Au 0.872 0.872 0.383  0.00
Au 0.620 0.620 0.141  0.01

Results
E_tot ... -4.886 eV per atom
ΔH_f (0 K) ... -789 meV/atom

---

[4]
An optimized crystal structure of Ce3HoAu7. Source: Alexandria, functional GGA-PBE.

a = 3.742 Å, b = 11.245 Å, c = 13.015 Å
α = 90.00°, β = 90.00°, γ = 99.58°
Each line ends with the local moment (μB).
Element x y z (fractional)
Au 0.278 0.556 0.070  0.01
Au 0.618 0.237 0.250  0.00
Ce 0.860 0.719 0.939  0.78
Au 0.382 0.763 0.750  0.00
Ce 0.860 0.719 0.561  0.78
Au 0.467 0.935 0.915  0.00
Au 0.402 0.804 0.364  0.00
Ce 0.140 0.281 0.061  0.78
Ce 0.804 0.608 0.250  0.82
Ce 0.140 0.281 0.439  0.78
Ho 0.007 0.014 0.750  0.03
Au 0.467 0.935 0.585  0.00
Au 0.402 0.804 0.136  0.00
Au 0.278 0.556 0.430  0.01
Au 0.722 0.444 0.930  0.01
Ho 0.993 0.986 0.250  0.03
Au 0.598 0.196 0.864  0.00
Au 0.722 0.444 0.570  0.01
Au 0.533 0.065 0.085  0.00
Au 0.533 0.065 0.415  0.00
Au 0.598 0.196 0.636  0.00
Ce 0.196 0.392 0.750  0.82

Results
E_tot ... -4.744 eV per atom
ΔH_f (0 K) ... -624 meV/atom

---

[5]
An optimized crystal structure of Ce2HoAu. Source: Alexandria, functional GGA-PBE.

a = 5.314 Å, b = 5.314 Å, c = 5.316 Å
α = 60.01°, β = 60.01°, γ = 60.00°
Each line ends with the local moment (μB).
Element x y z (fractional)
Au 0.500 0.500 0.500  -0.01
Ce 0.250 0.250 0.250  0.70
Ho 0.000 0.000 0.000  0.32
Ce 0.750 0.750 0.750  0.70

Results
Relative energy among the computed polymorphs ... 0.204 eV/atom
E_tot ... -4.988 eV per atom
ΔH_f (0 K) ... -57 meV/atom

---

[6]
An optimized crystal structure of CeHo4Au5. Source: Alexandria, functional GGA-PBE.

a = 3.568 Å, b = 3.568 Å, c = 18.422 Å
α = 90.00°, β = 90.00°, γ = 90.00°
Each line ends with the local moment (μB).
Element x y z (fractional)
Ho 0.000 0.000 0.401  0.00
Au 0.500 0.500 0.500  0.00
Au 0.500 0.500 0.111  0.00
Ho 0.000 0.000 0.795  0.00
Ho 0.000 0.000 0.205  0.00
Ce 0.000 0.000 0.000  0.94
Au 0.500 0.500 0.889  0.00
Au 0.500 0.500 0.697  0.00
Au 0.500 0.500 0.303  0.00
Ho 0.000 0.000 0.599  0.00

Results
E_tot ... -4.882 eV per atom
ΔH_f (0 K) ... -819 meV/atom

---

[7]
An optimized crystal structure of CeHoAu4. Source: Alexandria, functional GGA-PBE.

a = 3.777 Å, b = 3.777 Å, c = 9.247 Å
α = 90.00°, β = 90.00°, γ = 90.00°
Each line ends with the local moment (μB).
Element x y z (fractional)
Ce 0.500 0.500 0.500  0.60
Au 0.000 0.000 0.674  -0.01
Au 0.500 0.500 0.840  0.00
Ho 0.000 0.000 0.000  0.01
Au 0.000 0.000 0.326  -0.01
Au 0.500 0.500 0.160  0.00

Results
E_tot ... -4.694 eV per atom
ΔH_f (0 K) ... -757 meV/atom

---

[8]
An optimized crystal structure of CeHoInAu. Source: Alexandria, functional GGA-PBE.

a = 5.293 Å, b = 5.293 Å, c = 5.293 Å
α = 60.00°, β = 60.00°, γ = 60.00°
Each line ends with the local moment (μB).
Element x y z (fractional)
In 0.500 0.500 0.500  -0.01
Au 0.000 0.000 0.000  0.02
Ho 0.750 0.750 0.750  0.12
Ce 0.250 0.250 0.250  0.80

Results
E_tot ... -4.620 eV per atom
ΔH_f (0 K) ... -488 meV/atom

---

[9]
An optimized crystal structure of LiCeHo2Au4. Source: Alexandria, functional GGA-PBE.

a = 4.986 Å, b = 4.986 Å, c = 8.843 Å
α = 73.62°, β = 73.62°, γ = 60.00°
Each line ends with the local moment (μB).
Element x y z (fractional)
Ho 0.239 0.239 0.282  0.01
Au 0.612 0.612 0.163  0.00
Au 0.388 0.388 0.837  0.00
Ho 0.761 0.761 0.718  0.01
Li 0.500 0.500 0.500  0.00
Ce 0.000 0.000 0.000  0.76
Au 0.121 0.121 0.636  0.00
Au 0.879 0.879 0.364  0.00

Results
E_tot ... -4.469 eV per atom
ΔH_f (0 K) ... -705 meV/atom

---

[10]
An optimized crystal structure of LiCeHoAu. Source: Alexandria, functional GGA-PBE.

a = 5.156 Å, b = 5.156 Å, c = 5.156 Å
α = 60.00°, β = 60.00°, γ = 60.00°
Each line ends with the local moment (μB).
Element x y z (fractional)
Ho 0.750 0.750 0.750  0.04
Li 0.500 0.500 0.500  0.01
Ce 0.250 0.250 0.250  0.73
Au 0.000 0.000 0.000  0.00

Results
E_tot ... -4.191 eV per atom
ΔH_f (0 K) ... -265 meV/atom

---

[11]
An optimized crystal structure of CeHo2MgAu4. Source: Alexandria, functional GGA-PBE.

a = 5.000 Å, b = 5.000 Å, c = 8.881 Å
α = 73.65°, β = 73.65°, γ = 60.00°
Each line ends with the local moment (μB).
Element x y z (fractional)
Au 0.614 0.614 0.158  0.00
Ce 0.000 0.000 0.000  0.78
Ho 0.758 0.758 0.727  0.01
Au 0.877 0.877 0.369  0.00
Au 0.123 0.123 0.631  0.00
Au 0.386 0.386 0.842  0.00
Mg 0.500 0.500 0.500  0.00
Ho 0.242 0.242 0.273  0.01

Results
E_tot ... -4.455 eV per atom
ΔH_f (0 K) ... -731 meV/atom

---

[12]
An optimized crystal structure of CeHoMg2Au4. Source: Alexandria, functional GGA-PBE.

a = 4.951 Å, b = 4.951 Å, c = 8.583 Å
α = 73.24°, β = 73.24°, γ = 60.00°
Each line ends with the local moment (μB).
Element x y z (fractional)
Au 0.128 0.128 0.617  0.00
Mg 0.751 0.751 0.747  0.00
Au 0.378 0.378 0.865  0.00
Au 0.872 0.872 0.383  0.00
Ho 0.500 0.500 0.500  -0.01
Au 0.622 0.622 0.135  0.00
Ce 0.000 0.000 0.000  0.61
Mg 0.249 0.249 0.253  0.00

Results
E_tot ... -4.070 eV per atom
ΔH_f (0 K) ... -719 meV/atom

---

[13]
An optimized crystal structure of CeHoOsAu. Source: Alexandria, functional GGA-PBE.

a = 4.992 Å, b = 4.992 Å, c = 4.992 Å
α = 60.00°, β = 60.00°, γ = 60.00°
Each line ends with the local moment (μB).
Element x y z (fractional)
Os 0.500 0.500 0.500  -0.04
Ho 0.750 0.750 0.750  0.02
Ce 0.250 0.250 0.250  0.34
Au 0.000 0.000 0.000  0.01

Results
E_tot ... -6.643 eV per atom
ΔH_f (0 K) ... -388 meV/atom

---

[14]
An optimized crystal structure of CeHoPbAu. Source: Alexandria, functional GGA-PBE.

a = 5.336 Å, b = 5.336 Å, c = 5.336 Å
α = 60.00°, β = 60.00°, γ = 60.00°
Each line ends with the local moment (μB).
Element x y z (fractional)
Pb 0.000 0.000 0.000  -0.02
Au 0.500 0.500 0.500  0.04
Ce 0.250 0.250 0.250  1.03
Ho 0.750 0.750 0.750  0.32

Results
E_tot ... -4.891 eV per atom
ΔH_f (0 K) ... -517 meV/atom

---

[15]
An optimized crystal structure of CeHoRhAu. Source: Alexandria, functional GGA-PBE.

a = 5.024 Å, b = 5.024 Å, c = 5.024 Å
α = 60.00°, β = 60.00°, γ = 60.00°
Each line ends with the local moment (μB).
Element x y z (fractional)
Rh 0.250 0.250 0.250  -0.05
Ho 0.000 0.000 0.000  0.03
Ce 0.500 0.500 0.500  0.56
Au 0.750 0.750 0.750  0.00

Results
E_tot ... -5.990 eV per atom
ΔH_f (0 K) ... -705 meV/atom

---

[16]
An optimized crystal structure of Ce2HoSi2Au2. Source: Alexandria, functional GGA-PBE.

a = 4.317 Å, b = 4.317 Å, c = 9.524 Å
α = 76.90°, β = 76.90°, γ = 60.00°
Each line ends with the local moment (μB).
Element x y z (fractional)
Ce 0.859 0.859 0.423  0.67
Au 0.600 0.600 0.199  -0.01
Ce 0.141 0.141 0.577  0.67
Au 0.400 0.400 0.801  -0.01
Ho 0.000 0.000 0.000  -0.02
Si 0.259 0.259 0.223  -0.01
Si 0.741 0.741 0.777  -0.01

Results
Raw formation energy ... -0.6315 eV/atom
E_tot ... -5.467 eV per atom

---

[17]
An optimized crystal structure of CeHoSiAu. Source: Alexandria, functional GGA-PBE.

a = 5.106 Å, b = 5.106 Å, c = 5.106 Å
α = 60.00°, β = 60.00°, γ = 60.00°
Each line ends with the local moment (μB).
Element x y z (fractional)
Ce 0.500 0.500 0.500  0.89
Si 0.750 0.750 0.750  -0.01
Au 0.250 0.250 0.250  0.06
Ho 0.000 0.000 0.000  0.26

Results
Raw formation energy ... -0.5764 eV/atom
E_tot ... -5.379 eV per atom

---

[18]
An optimized crystal structure of CeHoTlAu. Source: Alexandria, functional GGA-PBE.

a = 5.309 Å, b = 5.309 Å, c = 5.309 Å
α = 60.00°, β = 60.00°, γ = 60.00°
Each line ends with the local moment (μB).
Element x y z (fractional)
Au 0.250 0.250 0.250  0.01
Ho 0.500 0.500 0.500  0.13
Tl 0.750 0.750 0.750  -0.01
Ce 0.000 0.000 0.000  0.85

Results
E_tot ... -4.482 eV per atom
ΔH_f (0 K) ... -444 meV/atom

---

[19]
An optimized crystal structure of Ce2HoZn2Au2. Source: Alexandria, functional GGA-PBE.

a = 4.503 Å, b = 4.503 Å, c = 9.016 Å
α = 75.54°, β = 75.54°, γ = 60.00°
Each line ends with the local moment (μB).
Element x y z (fractional)
Zn 0.402 0.402 0.795  -0.01
Ce 0.139 0.139 0.582  0.31
Ho 0.000 0.000 0.000  -0.01
Au 0.735 0.735 0.795  0.00
Au 0.265 0.265 0.205  0.00
Zn 0.598 0.598 0.205  -0.01
Ce 0.861 0.861 0.418  0.31

Results
E_tot ... -4.147 eV per atom
ΔH_f (0 K) ... -497 meV/atom

---

[20]
An optimized crystal structure of Ce3AuI3. Source: Alexandria, functional GGA-PBE.

a = 10.894 Å, b = 10.894 Å, c = 10.894 Å
α = 109.47°, β = 109.47°, γ = 109.47°
Each line ends with the local moment (μB).
Element x y z (fractional)
Au 0.500 0.250 0.500  0.02
I 0.491 0.509 0.250  -0.01
Au 0.750 0.500 0.000  0.02
Au 0.000 0.000 0.250  0.02
Ce 0.987 0.750 0.013  1.01
Ce 0.513 0.026 0.263  1.01
Ce 0.987 0.237 0.474  1.01
I 0.009 0.759 0.519  -0.01
I 0.491 0.981 0.741  -0.01
Ce 0.737 0.474 0.487  1.01
Ce 0.974 0.487 0.237  1.01
Ce 0.250 0.013 0.487  1.01
I 0.750 0.759 0.741  -0.01
I 0.259 0.741 0.250  -0.01
I 0.009 0.250 0.991  -0.01
I 0.241 0.991 0.981  -0.01
I 0.019 0.509 0.759  -0.01
I 0.750 0.991 0.509  -0.01
Ce 0.526 0.263 0.013  1.01
Ce 0.763 0.013 0.026  1.01
I 0.241 0.250 0.759  -0.01
I 0.481 0.741 0.991  -0.01
Ce 0.513 0.487 0.750  1.01
Ce 0.737 0.263 0.750  1.01
Au 0.750 0.250 0.250  0.02
I 0.259 0.519 0.509  -0.01
Ce 0.763 0.750 0.237  1.01
Ce 0.250 0.237 0.263  1.01

Results
Raw formation energy ... -0.9347 eV/atom
E_tot ... -4.610 eV per atom

---

[21]
An optimized crystal structure of CeAuI2. Source: Alexandria, functional GGA-PBE.

a = 4.207 Å, b = 4.207 Å, c = 9.981 Å
α = 77.83°, β = 77.83°, γ = 60.00°
Each line ends with the local moment (μB).
Element x y z (fractional)
Au 0.500 0.500 0.500  0.02
I 0.106 0.106 0.683  -0.01
Ce 0.000 0.000 0.000  1.13
I 0.894 0.894 0.317  -0.01

Results
Raw formation energy ... -0.0246 eV/atom
E_tot ... -3.102 eV per atom

---

[22]
An optimized crystal structure of CeAuI. Source: Alexandria, functional GGA-PBE.

a = 4.791 Å, b = 4.791 Å, c = 11.072 Å
α = 89.53°, β = 102.97°, γ = 120.01°
Each line ends with the local moment (μB).
Element x y z (fractional)
Ce 0.103 0.548 0.651  0.91
Au 0.670 0.835 0.505  -0.02
I 0.557 0.272 0.830  -0.01
Au 0.330 0.165 0.495  -0.02
I 0.443 0.728 0.170  -0.01
Ce 0.897 0.452 0.349  0.91

Results
Raw formation energy ... -0.9313 eV/atom
E_tot ... -4.518 eV per atom

---

[23]
An optimized crystal structure of CeAuI. Source: Alexandria, functional GGA-PBE.

a = 4.788 Å, b = 4.788 Å, c = 10.751 Å
α = 90.51°, β = 90.70°, γ = 60.01°
Each line ends with the local moment (μB).
Element x y z (fractional)
I 0.326 0.831 0.671  -0.01
Au 0.333 0.833 0.004  -0.02
Au 0.667 0.167 0.996  -0.02
Ce 0.004 0.501 0.150  0.91
Ce 0.996 0.499 0.850  0.91
I 0.674 0.169 0.329  -0.01

Results
Raw formation energy ... -0.9312 eV/atom
E_tot ... -4.518 eV per atom

---

[24]
An optimized crystal structure of CeAuI5. Source: Alexandria, functional GGA-PBE.

a = 8.280 Å, b = 8.280 Å, c = 11.523 Å
α = 106.98°, β = 111.20°, γ = 95.18°
Element x y z (fractional)
I 0.248 0.846 0.169
I 0.100 0.350 0.250
I 0.323 0.420 0.669
Ce 0.000 0.000 0.000
I 0.224 0.843 0.539
I 0.304 0.186 0.961
I 0.776 0.157 0.461
I 0.900 0.650 0.750
I 0.696 0.814 0.039
Ce 0.000 0.500 0.500
Au 0.143 0.893 0.750
Au 0.857 0.107 0.250
I 0.752 0.154 0.831
I 0.677 0.580 0.331

Results
Raw formation energy ... -0.8032 eV/atom
E_tot ... -3.226 eV per atom

---

[25]
An optimized crystal structure of Ce2AuI8. Source: Alexandria, functional GGA-PBE.

a = 8.864 Å, b = 7.858 Å, c = 9.745 Å
α = 102.47°, β = 78.74°, γ = 118.74°
Each line ends with the local moment (μB).
Element x y z (fractional)
I 0.373 0.248 0.202  -0.02
I 0.829 0.791 0.357  -0.02
I 0.116 0.749 0.879  -0.01
I 0.749 0.301 0.565  -0.02
I 0.884 0.251 0.121  -0.01
I 0.251 0.699 0.435  -0.02
Ce 0.057 0.244 0.367  0.58
Ce 0.943 0.756 0.633  0.58
Au 0.000 0.000 0.000  -0.01
I 0.627 0.752 0.798  -0.02
I 0.171 0.209 0.643  -0.02

Results
Raw formation energy ... -1.0271 eV/atom
E_tot ... -3.531 eV per atom